1.
Here is an optimized crystal structure of NpTaRhO6 from the Alexandria database. Energies are from PBE.

For the density of states at the Fermi level, the calculation gives 10.20 states/eV per cell. Its final energy is -9.011 eV per atom. Its uncorrected formation energy is -2.13 eV per atom. The calculation puts the density at 9.0 g/cm3. The magnetic moment comes out at 3.0 μB/f.u.

It has space group P-31c (No. 163), with a = 5.4723 Å, b = 5.4723 Å, c = 8.7889 Å, α = 90.00°, β = 90.00° and γ = 120.00°. Symmetry generates all atoms from Np at (0.3333, 0.6667, 0.2500), Ta at (0.3333, 0.6667, 0.7500), Rh at (0.0000, 0.0000, 0.0000) and O at (0.0203, 0.3525, 0.6296).

***

2.
Here is an optimized crystal structure of Tb2NpRhO8 from the Alexandria database. Energies are from PBE.

For the density of states at the Fermi level, the calculation gives 18.75 states/eV per cell. Its final energy is -8.273 eV per atom. Its uncorrected formation energy is -2.51 eV per atom. The calculation puts the density at 7.7 g/cm3. The magnetic moment comes out at 1.7 μB/f.u.

It has space group Cmmm (No. 65), with a = 7.014 Å, b = 7.270 Å, c = 6.675 Å, α = 90.00°, β = 90.00° and γ = 90.00°. Symmetry generates all atoms from Tb at (0.000, 0.000, 0.240), Np at (0.000, 0.500, 0.500), Rh at (0.000, 0.500, 0.000), O at (0.000, 0.321, 0.251), O at (0.210, 0.000, 0.500) and O at (0.217, 0.000, 0.000).

***

3.
Here is an optimized crystal structure of TbNpRhO6 from the Alexandria database. Energies are from PBE.

For the density of states at the Fermi level, the calculation gives 4.27 states/eV per cell. Its final energy is -8.303 eV per atom. Its uncorrected formation energy is -2.23 eV per atom. The calculation puts the density at 8.4 g/cm3. The magnetic moment comes out at 1.0 μB/f.u.

It has space group P-31c (No. 163), with a = 5.6254 Å, b = 5.6254 Å, c = 8.5488 Å, α = 90.00°, β = 90.00° and γ = 120.00°. Symmetry generates all atoms from Tb at (0.3333, 0.6667, 0.2500), Np at (0.3333, 0.6667, 0.7500), Rh at (0.0000, 0.0000, 0.0000) and O at (0.0295, 0.3377, 0.6232).

***

4.
Here is an optimized crystal structure of NpTiRhO6 from the Alexandria database. Energies are from PBE.

For the density of states at the Fermi level, the calculation gives 4.52 states/eV per cell. Its final energy is -8.633 eV per atom. Its uncorrected formation energy is -2.20 eV per atom. The calculation puts the density at 7.5 g/cm3. The magnetic moment comes out at 2.0 μB/f.u.

It has space group P-31c (No. 163), with a = 5.3253 Å, b = 5.3253 Å, c = 8.6712 Å, α = 90.00°, β = 90.00° and γ = 120.00°. Symmetry generates all atoms from Np at (0.3333, 0.6667, 0.2500), Ti at (0.3333, 0.6667, 0.7500), Rh at (0.0000, 0.0000, 0.0000) and O at (0.0173, 0.3460, 0.6285).

***

5.
Here is an optimized crystal structure of NpTlRhO6 from the Alexandria database. Energies are from PBE.

For the density of states at the Fermi level, the calculation gives 5.13 states/eV per cell. Its final energy is -7.406 eV per atom. Its uncorrected formation energy is -1.58 eV per atom. The calculation puts the density at 6.8 g/cm3. The magnetic moment comes out at 1.0 μB/f.u.

It has space group P312 (No. 149), with a = 5.3808 Å, b = 5.3808 Å, c = 6.2612 Å, α = 90.00°, β = 90.00° and γ = 120.00°. Symmetry generates all atoms from Np at (0.0000, 0.0000, 0.0000), Tl at (0.3333, 0.6667, 0.5000), Rh at (0.6667, 0.3333, 0.0000) and O at (0.3352, 0.0355, 0.1744).

***

6.
Here is an optimized crystal structure of Np2TlRhO8 from the Alexandria database. Energies are from PBE.

For the density of states at the Fermi level, the calculation gives 12.04 states/eV per cell. Its final energy is -7.961 eV per atom. Its uncorrected formation energy is -1.69 eV per atom. The calculation puts the density at 7.0 g/cm3. The magnetic moment comes out at 2.0 μB/f.u.

It has space group P-3m1 (No. 164), with a = 5.8326 Å, b = 5.8326 Å, c = 7.3446 Å, α = 90.00°, β = 90.00° and γ = 120.00°. Symmetry generates all atoms from Np at (0.3333, 0.6667, 0.2120), Tl at (0.0000, 0.0000, 0.0000), Rh at (0.0000, 0.0000, 0.5000), O at (0.1601, 0.3202, 0.3410) and O at (0.3333, 0.6667, 0.9515).

***

7.
Here is an optimized crystal structure of NpTl2Rh2O6 from the Alexandria database. Energies are from PBE.

For the density of states at the Fermi level, the calculation gives 13.48 states/eV per cell. Its final energy is -6.971 eV per atom. Its uncorrected formation energy is -1.32 eV per atom. The calculation puts the density at 8.7 g/cm3. The magnetic moment comes out at 2.5 μB/f.u.

It has space group C2/m (No. 12), with a = 5.479 Å, b = 9.486 Å, c = 6.947 Å, α = 90.00°, β = 90.73° and γ = 90.00°. Symmetry generates all atoms from Np at (0.000, 0.000, 0.000), Tl at (0.000, 0.333, 0.500), Rh at (0.000, 0.333, 0.000), O at (0.151, 0.500, 0.841) and O at (0.171, 0.173, 0.841).

***

8.
Here is an optimized crystal structure of NpTlRh2O8 from the Alexandria database. Energies are from PBE.

For the density of states at the Fermi level, the calculation gives 9.94 states/eV per cell. Its final energy is -7.100 eV per atom. Its uncorrected formation energy is -1.29 eV per atom. The calculation puts the density at 8.3 g/cm3. The magnetic moment comes out at 0.2 μB/f.u.

It has space group P2/m (No. 10), with a = 4.851 Å, b = 6.533 Å, c = 4.870 Å, α = 90.00°, β = 90.42° and γ = 90.00°. Symmetry generates all atoms from Np at (0.000, 0.000, 0.000), Tl at (0.000, 0.500, 0.000), Rh at (0.500, 0.249, 0.500), O at (0.211, 0.227, 0.793), O at (0.312, 0.000, 0.316) and O at (0.322, 0.500, 0.328).